Density functional theory data (GGA+U) for an optimized crystal structure of TiMnO2.

As for the density of states at the Fermi level: 1.68 states/eV/f.u. The energy above the most stable polymorph in this dataset comes out at 0.0811 eV per atom. For the total energy, the calculation gives -8.210 eV per atom. Its calculated volume is 11.53 Å³ per atom.

It has space group P1 (No. 1), with a = 2.8495 Å, b = 5.2689 Å, c = 6.5745 Å, α = 92.64°, β = 102.40° and γ = 105.63°. The inequivalent atoms are Ti at (0.0000, 0.0000, 0.0000), Ti at (0.4014, 0.5415, 0.2597), Mn at (0.2541, 0.9095, 0.5967), Mn at (0.5990, 0.4356, 0.7582), O at (0.0553, 0.8380, 0.2735), O at (0.3233, 0.6983, 0.9463), O at (0.6967, 0.2826, 0.1102) and O at (0.9896, 0.4771, 0.4956).